A relaxed structure of PmSm2, computed with GGA-PBE.

Geometry as POSCAR:
```
PmSm2
1.0
0.0000 4.7283 4.7283
4.7283 0.0000 4.7283
4.7283 4.7283 0.0000
Pm Sm
2 4
direct
0.1250 0.1250 0.1250
0.8750 0.8750 0.8750
0.0000 0.5000 0.5000
0.5000 0.0000 0.5000
0.5000 0.5000 0.0000
0.5000 0.5000 0.5000
```

Results
Final energy, eV for the cell shown: -26.8
Distance to the lowest polymorph of the same formula, meV/atom: 257
Size of the total moment, μB/cell: 0.00